A relaxed MnZnI2O crystal, computed with PBE+U.

As for the calculated total energy: -3.6506 eV per atom. The value obtained for the distance to the lowest polymorph of the same formula is 0 kJ/mol of formula units.

Geometry as CIF:
```
data_MnZnI2O
_chemical_formula_sum 'Mn1 Zn1 I2 O1'
_symmetry_space_group_name_H-M 'P 4/m m m'
_symmetry_Int_Tables_number 123
_symmetry_space_group_name_Hall '-P 4 2'
_cell_length_a 5.795
_cell_length_b 5.795
_cell_length_c 3.753
_cell_angle_alpha 90.00
_cell_angle_beta 90.00
_cell_angle_gamma 90.00
loop_
_atom_site_label
_atom_site_fract_x
_atom_site_fract_y
_atom_site_fract_z
Mn1 0.000 0.000 0.000
Zn1 0.500 0.500 0.500
I1 0.000 0.500 0.000
O1 0.000 0.000 0.500
```